This record from Alexandria describes crystalline RbCaAgCl4 at its relaxed geometry. The functional is GGA-PBE.

The space group is P2_1/m (No. 11) and the conventional cell measures 7.090, 7.213 and 8.448 Å, with angles of 90.00, 100.01 and 90.00 degrees. The distinct sites, in fractional coordinates, are Rb at (0.172, 0.250, 0.066), Ca at (0.167, 0.750, 0.458), Ag at (0.373, 0.250, 0.678), Cl at (0.103, 0.501, 0.703), Cl at (0.289, 0.750, 0.159) and Cl at (0.463, 0.250, 0.396).

The raw formation energy is -163.1 kJ/mol of atoms. For the final energy, the calculation gives -3.577 eV per atom.